a) Cu5Ag4: relaxed, PBE-GGA.

Cell and atoms, written as extended XYZ:
```
9
Lattice="2.7771 0.0000 0.0000 -1.3885 2.4050 0.0000 0.0000 0.0000 19.8144" Properties=species:S:1:pos:R:3 pbc="T T T"
Ag 1.3885 0.8017 5.7110
Ag 0.0000 0.0000 16.6159
Ag 0.0000 0.0000 3.1984
Ag 0.0000 1.6033 14.1033
Cu 0.0000 1.6033 7.9459
Cu 0.0000 1.6033 0.9681
Cu 1.3885 0.8017 18.8463
Cu 1.3885 0.8017 11.8684
Cu 0.0000 0.0000 9.9072
```

b) Cu5Ag4: relaxed, PBE-GGA.

Cell and atoms, written as extended XYZ:
```
9
Lattice="-5.8045 -8.9925 12.6457 -8.8957 -9.5422 10.2119 8.2267 7.6496 -12.1768" Properties=species:S:1:pos:R:3 pbc="T T T"
Cu -5.9688 -7.5257 9.2810
Cu -8.7314 -11.0090 13.5767
Cu -14.0069 -17.6606 21.7796
Cu -0.6933 -0.8741 1.0780
Cu -7.3501 -9.2674 11.4288
Ag -10.5436 -13.2939 16.3945
Ag -2.2185 -2.7972 3.4496
Ag -12.4817 -15.7375 19.4080
Ag -4.1566 -5.2408 6.4632
```

Which of them is the most stable? Correct choice: b).

a) Cu5Ag4: relaxed, PBE-GGA.

Cell and atoms, written as extended XYZ:
```
9
Lattice="9.3330 13.2636 4.2892 6.2494 14.0817 6.6389 -6.9611 -14.7278 -4.0073" Properties=species:S:1:pos:R:3 pbc="T T T"
Cu 0.0000 0.0000 0.0000
Cu 5.2853 9.2751 3.7066
Cu 7.0710 12.4088 4.9590
Cu 8.5114 14.9365 5.9691
Cu 10.2971 18.0702 7.2215
Ag 12.1999 21.4093 8.5559
Ag 13.9696 24.5149 9.7970
Ag 1.6129 2.8304 1.1311
Ag 3.3825 5.9359 2.3722
```

b) Cu5Ag4: relaxed, PBE-GGA.

Cell and atoms, written as extended XYZ:
```
9
Lattice="6.9193 -1.4146 0.0000 6.9193 1.4146 0.0000 -0.8199 0.0000 6.7358" Properties=species:S:1:pos:R:3 pbc="T T T"
Cu 0.1457 0.0000 5.4778
Cu 3.7546 0.0000 1.0191
Cu 6.5093 0.0000 3.3679
Cu 12.8729 0.0000 1.2579
Cu 9.2640 0.0000 5.7167
Ag 8.2669 0.0000 1.0090
Ag 1.8460 0.0000 3.4446
Ag 4.7517 0.0000 5.7268
Ag 11.1726 0.0000 3.2912
```

Which of them is the most stable? Correct choice: a).

a) NpNbW: relaxed, PBE-GGA.

Cell and atoms, written as extended XYZ:
```
3
Lattice="0.0000 3.1497 3.1497 3.1497 0.0000 3.1497 3.1497 3.1497 0.0000" Properties=species:S:1:pos:R:3 pbc="T T T"
Np 4.7246 4.7246 4.7246
W 1.5749 1.5749 1.5749
Nb 0.0000 0.0000 0.0000
```

b) NpNbW: relaxed, PBE-GGA.

Cell and atoms, written as extended XYZ:
```
3
Lattice="-1.9184 2.8510 2.7655 0.6589 4.3335 -0.4927 -3.2816 2.5823 -1.4209" Properties=species:S:1:pos:R:3 pbc="T T T"
Nb -2.2706 4.8834 0.4259
Np -1.1353 2.4417 0.2130
W 0.0000 0.0000 0.0000
```

Which of them is the most stable? Correct choice: a).

a) PmBAsO: relaxed, PBE-GGA.

Cell and atoms, written as extended XYZ:
```
8
Lattice="5.1387 0.0000 0.0000 0.0000 4.1807 0.0000 0.0000 0.0000 5.9778" Properties=species:S:1:pos:R:3 pbc="T T T"
O 2.5694 1.0531 2.7717
O 2.5694 3.1276 5.7606
B 0.0000 1.0340 2.4656
B 0.0000 3.1467 5.4545
As 0.0000 3.1380 1.6474
As 0.0000 1.0427 4.6363
Pm 2.5694 3.1420 3.6003
Pm 2.5694 1.0387 0.6114
```

b) PmBAsO: relaxed, PBE-GGA.

Cell and atoms, written as extended XYZ:
```
8
Lattice="-2.5821 -2.7011 -1.6824 2.7533 -4.5752 3.1199 -3.8379 0.8149 4.5819" Properties=species:S:1:pos:R:3 pbc="T T T"
O -3.2565 -3.2788 5.2712
O -1.8209 -2.8830 2.4325
Pm -1.0145 -0.7828 2.8138
Pm -1.5576 -2.6616 6.6638
As -2.9835 -0.2849 5.0363
As 0.4215 -3.1616 4.4292
B -1.2205 -3.8817 3.1142
B -3.8581 -2.2800 4.5908
```

Which of them is the most stable? Correct choice: b).

a) CsAgIr: relaxed, PBE-GGA.

Cell and atoms, written as extended XYZ:
```
3
Lattice="-3.0198 -3.7122 -1.1024 -4.3708 0.9143 -2.0433 -0.8138 -1.1922 -4.6938" Properties=species:S:1:pos:R:3 pbc="T T T"
Ir 0.0000 0.0000 0.0000
Ag -2.0511 -0.9976 -1.9599
Cs -6.1533 -2.9927 -5.8796
```

b) CsAgIr: relaxed, PBE-GGA.

Cell and atoms, written as extended XYZ:
```
3
Lattice="-3.6273 -3.3052 0.8999 -1.6368 -0.7002 4.6607 -4.5467 1.5812 1.3112" Properties=species:S:1:pos:R:3 pbc="T T T"
Cs 0.0000 0.0000 0.0000
Ir -7.3580 -1.8182 5.1539
Ag -2.4527 -0.6061 1.7180
```

Which of them is the most stable? Correct choice: a).

a) LaScBeNi: relaxed, PBE-GGA.

Cell and atoms, written as extended XYZ:
```
4
Lattice="-1.8174 -0.0328 4.4692 -4.4819 -1.6116 0.7698 -0.6972 -4.1889 2.2900" Properties=species:S:1:pos:R:3 pbc="T T T"
La -3.4982 -2.9166 3.7645
Ni -1.7491 -1.4583 1.8822
Sc 0.0000 0.0000 0.0000
Be -5.2474 -4.3750 5.6467
```

b) LaScBeNi: relaxed, PBE-GGA.

Cell and atoms, written as extended XYZ:
```
4
Lattice="0.0000 3.2703 3.2703 3.2703 0.0000 3.2703 3.2703 3.2703 0.0000" Properties=species:S:1:pos:R:3 pbc="T T T"
Be 4.9054 4.9054 4.9054
Sc 1.6351 1.6351 1.6351
La 0.0000 0.0000 0.0000
Ni 3.2703 3.2703 3.2703
```

Which of them is the most stable? Correct choice: a).

a) NdS: relaxed, PBE-GGA.

Cell and atoms, written as extended XYZ:
```
2
Lattice="3.8811 0.0000 0.0000 -1.9406 3.3611 0.0000 0.0000 0.0000 3.7289" Properties=species:S:1:pos:R:3 pbc="T T T"
S 0.0000 2.2408 0.9322
Nd 1.9406 1.1204 2.7967
```

b) NdS: relaxed, PBE-GGA.

Cell and atoms, written as extended XYZ:
```
2
Lattice="0.0000 2.8757 2.8757 2.8757 0.0000 2.8757 2.8757 2.8757 0.0000" Properties=species:S:1:pos:R:3 pbc="T T T"
Nd 0.0000 0.0000 0.0000
S 2.8757 2.8757 2.8757
```

Which of them is the most stable? Correct choice: b).

a) Cu7Ag3: relaxed, PBE-GGA.

Cell and atoms, written as extended XYZ:
```
10
Lattice="-6.6345 6.3372 -3.1178 4.2298 -8.6317 1.2241 -1.9930 -0.5272 3.1695" Properties=species:S:1:pos:R:3 pbc="T T T"
Cu -3.4411 1.9373 -1.8416
Cu -1.2023 -1.1473 -0.9469
Cu 3.0400 -6.9924 0.7486
Cu 1.0364 -4.2319 -0.0521
Cu -5.4446 4.6978 -2.6423
Cu 0.9980 -5.8155 1.9155
Cu -5.3957 2.9938 -0.6397
Ag -1.0370 -3.0117 1.1022
Ag -3.3607 0.1899 0.1736
Ag -0.9965 -0.2636 1.5847
```

b) Cu7Ag3: relaxed, PBE-GGA.

Cell and atoms, written as extended XYZ:
```
10
Lattice="-2.8441 -3.4613 1.3597 0.4519 -4.6582 0.1233 3.2562 0.8205 7.8856" Properties=species:S:1:pos:R:3 pbc="T T T"
Ag -0.3227 -2.3456 1.4102
Ag 1.1868 -4.9534 7.9583
Ag 0.0000 0.0000 0.0000
Cu -0.6974 -4.7177 2.7076
Cu 1.9942 -0.1762 5.4864
Cu 0.4320 -3.6495 4.6843
Cu -1.1302 -7.1228 3.8822
Cu 0.8622 -1.2990 3.5558
Cu 0.0018 -5.9999 5.8128
Cu 1.5615 -2.5813 6.6610
```

c) Cu7Ag3: relaxed, PBE-GGA.

Cell and atoms, written as extended XYZ:
```
10
Lattice="2.6577 4.5340 -4.8744 -3.6472 -6.1420 0.5951 -3.4288 2.7632 1.4410" Properties=species:S:1:pos:R:3 pbc="T T T"
Cu -3.4796 -1.5735 -0.3170
Cu -2.3493 -3.9442 -0.5308
Cu 1.3597 2.3363 -3.7484
Cu -1.1560 -1.9236 -1.5660
Cu 0.1664 0.3156 -2.7132
Cu -0.9388 2.7288 -2.5212
Cu 0.0000 0.0000 0.0000
Ag -2.2092 0.5776 -1.4191
Ag -4.6885 -3.6206 0.7317
Ag 0.2702 4.7759 -3.5699
```

Which of them is the most stable? Correct choice: b).

a) LuCuNiSb: relaxed, PBE-GGA.

Cell and atoms, written as extended XYZ:
```
4
Lattice="-0.9894 -2.5598 3.6681 -3.8844 0.7240 2.3182 -3.3924 -3.0723 -0.1984" Properties=species:S:1:pos:R:3 pbc="T T T"
Sb 0.0000 0.0000 0.0000
Lu -4.1331 -2.4541 2.8940
Cu -6.1997 -3.6811 4.3409
Ni -2.0666 -1.2270 1.4470
```

b) LuCuNiSb: relaxed, PBE-GGA.

Cell and atoms, written as extended XYZ:
```
4
Lattice="0.0000 3.2958 3.2958 3.2958 0.0000 3.2958 3.2958 3.2958 0.0000" Properties=species:S:1:pos:R:3 pbc="T T T"
Ni 4.9437 4.9437 4.9437
Sb 0.0000 0.0000 0.0000
Lu 1.6479 1.6479 1.6479
Cu 3.2958 3.2958 3.2958
```

Which of them is the most stable? Correct choice: a).

a) TbGePO: relaxed, PBE-GGA.

Cell and atoms, written as extended XYZ:
```
8
Lattice="-1.5825 -0.2864 3.3855 5.1597 -2.3476 2.2133 2.2111 6.3396 1.5698" Properties=species:S:1:pos:R:3 pbc="T T T"
O 5.0001 3.1641 4.6796
O 1.0489 1.2890 2.6740
Ge 1.3484 -0.5917 2.6550
Ge 3.6504 2.0337 3.9531
P 3.1794 5.1396 1.9209
P 4.8397 0.7113 2.3224
Tb 6.1296 4.3877 3.2363
Tb 2.2450 2.4823 1.2594
```

b) TbGePO: relaxed, PBE-GGA.

Cell and atoms, written as extended XYZ:
```
8
Lattice="-2.5072 1.0643 2.9801 -3.1568 -0.5766 -2.4499 -0.4876 -8.5268 2.6349" Properties=species:S:1:pos:R:3 pbc="T T T"
P -4.3985 -2.2662 1.2110
P -1.7531 -5.7730 1.9542
O -2.6696 0.6541 1.6226
O -2.9944 -0.1664 -1.0924
Ge -3.2382 -4.4298 0.2250
Ge -2.9134 -3.6093 2.9401
Tb -1.4735 -0.8837 0.4433
Tb -4.6781 -7.1554 2.7218
```

Which of them is the most stable? Correct choice: b).

a) LiZr2Os: relaxed, PBE-GGA.

Cell and atoms, written as extended XYZ:
```
8
Lattice="2.9155 3.6473 -1.0858 -4.7463 0.6690 0.0859 0.4084 1.9262 7.5670" Properties=species:S:1:pos:R:3 pbc="T T T"
Li 0.2042 0.9631 3.7835
Li 0.0000 0.0000 0.0000
Zr -1.9520 2.7954 4.1487
Zr 0.5296 3.4471 2.4184
Zr 0.3977 2.8251 -0.0254
Zr -1.8201 3.4174 6.5925
Os -2.0903 2.1433 1.5871
Os 0.6679 4.0992 4.9800
```

b) LiZr2Os: relaxed, PBE-GGA.

Cell and atoms, written as extended XYZ:
```
8
Lattice="3.2891 2.3512 1.4381 -3.3045 -0.8789 2.5926 4.2408 -7.6521 2.8113" Properties=species:S:1:pos:R:3 pbc="T T T"
Os 1.0602 -1.9130 0.7028
Os 3.1806 -5.7391 2.1085
Zr 0.6108 -2.9013 3.3463
Zr -0.7038 -0.5292 2.4748
Zr 4.9291 -5.6506 4.3672
Zr 3.6145 -3.2786 3.4957
Li 2.0740 -5.5413 4.3162
Li 2.1514 -0.6385 2.5257
```

Which of them is the most stable? Correct choice: a).

a) ScAsIrO: relaxed, PBE-GGA.

Cell and atoms, written as extended XYZ:
```
8
Lattice="3.9577 0.0000 0.0000 0.0000 3.9577 0.0000 0.0000 0.0000 7.6889" Properties=species:S:1:pos:R:3 pbc="T T T"
Ir 0.0000 0.0000 3.8445
Ir 1.9789 1.9789 3.8445
O 1.9789 1.9789 0.0000
O 0.0000 0.0000 0.0000
As 1.9789 0.0000 5.3016
As 0.0000 1.9789 2.3873
Sc 1.9789 0.0000 0.8657
Sc 0.0000 1.9789 6.8232
```

b) ScAsIrO: relaxed, PBE-GGA.

Cell and atoms, written as extended XYZ:
```
8
Lattice="-2.4309 -2.6780 -2.3724 3.3132 -0.0739 -3.3115 2.6263 -4.8070 2.7350" Properties=species:S:1:pos:R:3 pbc="T T T"
Ir 2.3620 -2.1422 -0.0021
Ir 4.5758 -4.5658 0.4653
Sc 2.8736 -4.2905 -2.0445
Sc -0.1404 -1.8491 -1.7119
O 3.1604 -5.7687 -0.6697
O 1.2008 -3.3508 -1.3912
As 3.6489 -1.5024 -2.0430
As 2.5493 -3.8520 1.7360
```

Which of them is the most stable? Correct choice: a).